# 1
A plane-wave DFT calculation with GGA-PBE was carried out for a relaxed YCdS2N crystal.

```
data_YCdS2N
_chemical_formula_sum 'Y1 Cd1 S2 N1'
_space_group_name_H-M_alt 'P 4/m m m'
_space_group_IT_number 123
_space_group_name_Hall '-P 4 2'
_cell_length_a 5.0304
_cell_length_b 5.0304
_cell_length_c 4.1240
_cell_angle_alpha 90.00
_cell_angle_beta 90.00
_cell_angle_gamma 90.00
loop_
_atom_site_label
_atom_site_type_symbol
_atom_site_fract_x
_atom_site_fract_y
_atom_site_fract_z
Y1 Y 0.0000 0.0000 0.0000
Cd1 Cd 0.5000 0.5000 0.5000
S1 S 0.0000 0.5000 0.5000
N1 N 0.5000 0.5000 0.0000
```

Calculated values
- calculated volume (Å³ per atom) = 20.87
- total moment (μB/cell) = 1.46
- ΔE_f (raw) (eV per atom) = 0.14
- total DFT energy (no corrections) (eV/atom) = -4.65



# 2
A plane-wave DFT calculation with GGA-PBE was carried out for a relaxed Tb3Ce2SmTe6 crystal.

```
data_Tb3Ce2SmTe6
_chemical_formula_sum 'Tb6 Ce4 Sm2 Te12'
_space_group_name_H-M_alt 'C 1 2/m 1'
_space_group_IT_number 12
_cell_length_a 19.3416
_cell_length_b 4.3913
_cell_length_c 8.9195
_cell_angle_alpha 90.00
_cell_angle_beta 104.15
_cell_angle_gamma 90.00
loop_
_space_group_symop_operation_xyz
'x,y,z'
'-x,-y,-z'
'-x,y,-z'
'x,-y,z'
'x+1/2,y+1/2,z'
'-x+1/2,-y+1/2,-z'
'-x+1/2,y+1/2,-z'
'x+1/2,-y+1/2,z'
loop_
_atom_site_label
_atom_site_type_symbol
_atom_site_fract_x
_atom_site_fract_y
_atom_site_fract_z
Tb1 Tb 0.0000 0.0000 0.0000
Tb2 Tb 0.1663 0.5000 0.3333
Ce1 Ce 0.1672 0.5000 0.8348
Sm1 Sm 0.0000 0.0000 0.5000
Te1 Te 0.0019 0.5000 0.2471
Te2 Te 0.1642 0.0000 0.0894
Te3 Te 0.1680 0.0000 0.5780
```

Calculated values
- calculated volume (Å³ per atom) = 30.61
- total moment (μB/cell) = 5.09
- ΔE_f (raw) (eV per atom) = -1.35
- total DFT energy (no corrections) (eV/atom) = -5.46



# 3
A plane-wave DFT calculation with GGA-PBE was carried out for a relaxed SmHg2Pd7 crystal.

```
data_SmHg2Pd7
_chemical_formula_sum 'Sm2 Hg4 Pd14'
_space_group_name_H-M_alt 'C m m m'
_space_group_IT_number 65
_space_group_name_Hall '-C 2 2'
_cell_length_a 7.2830
_cell_length_b 14.0574
_cell_length_c 4.4595
_cell_angle_alpha 90.00
_cell_angle_beta 90.00
_cell_angle_gamma 90.00
loop_
_atom_site_label
_atom_site_type_symbol
_atom_site_fract_x
_atom_site_fract_y
_atom_site_fract_z
Sm1 Sm 0.0000 0.0000 0.0000
Hg1 Hg 0.0000 0.2983 0.5000
Pd1 Pd 0.0000 0.1905 0.0000
Pd2 Pd 0.0000 0.5000 0.5000
Pd3 Pd 0.1828 0.1034 0.5000
```

Calculated values
- calculated volume (Å³ per atom) = 22.83
- total moment (μB/cell) = 0.00
- total DFT energy (no corrections) (eV/atom) = -4.15
- energy relative to the elements (eV/atom) = 0.02



no.,theoretical density (g/cm³)
1,4.4
2,7.6
3,9.4